The following is a PBE with a Hubbard U calculation of Rb2FeO2 after structural relaxation, from Alexandria.

Cell: 6.878 6.878 7.675 Å, 118.72 118.72 50.33°
Element x y z (fractional)
Rb1 0.025 0.025 0.256
Rb2 0.325 0.325 0.892
Rb3 0.675 0.675 0.108
Rb4 0.975 0.975 0.744
Fe1 0.371 0.371 0.371
Fe2 0.629 0.629 0.629
O1 0.205 0.205 0.152
O2 0.483 0.483 0.670
O3 0.517 0.517 0.330
O4 0.795 0.795 0.848

Output
The theoretical density comes out at 3.63 g cm⁻³. The uncorrected energy is -4.762 eV/atom.

The following is a PBE with a Hubbard U calculation of TlV2CdO8 after structural relaxation, from Alexandria.

Cell: 6.019 6.019 6.019 Å, 107.50 107.50 113.49°
Element x y z (fractional)
Tl1 0.000 0.000 0.000
V1 0.250 0.750 0.500
V2 0.500 0.500 0.000
Cd1 0.750 0.250 0.500
O1 0.089 0.395 0.306
O2 0.089 0.783 0.694
O3 0.145 0.337 0.808
O4 0.217 0.911 0.306
O5 0.529 0.337 0.192
O6 0.605 0.911 0.694
O7 0.663 0.471 0.808
O8 0.663 0.855 0.192

Output
The theoretical density comes out at 5.43 g cm⁻³. The density of states at the Fermi level is 9.1 states/eV per cell. The uncorrected energy is -6.069 eV/atom.